Computed, not measured: a geometry-optimized Sr2AlCo structure at the PBE level of DFT.

- uncorrected energy (eV/atom) = -3.6029
- density of states at the Fermi level (states/eV per atom) = 0.8507
- theoretical density (Mg/m³) = 3.406

a b c (Å): 7.3071 4.2105 8.6218
angles (deg): 90.00 106.25 90.00
Last column: nearest neighbours and their distance in Å.
Space group Cm (No. 8)
Symmetry-distinct sites (fractional):
Sr 0.0000 0.0000 0.0000 (multiplicity 2)  3 Al 3.26, 3 Co 3.26-3.27
Sr 0.1733 0.0000 0.5254 (multiplicity 2)  3 Co 3.26, 3 Al 3.26
Al 0.4196 0.0000 0.2626 (multiplicity 2)  3 Co 2.43
Co 0.2529 0.5000 0.2633 (multiplicity 2)  3 Al 2.43